Compound: CaHPtRh2
Source: the Alexandria database
Functional: PBE
Structure: relaxed

Cell: 4.1140 4.1140 4.0727 Å, 90.00 90.00 90.00°
Closest atoms and distances in Å follow each position.
Atoms (fractional coordinates):
Ca 0.0000 0.0000 0.0000  8 Rh 2.89, 4 Pt 2.91
H 0.5000 0.5000 0.5000  2 Pt 2.04, 4 Rh 2.06
Pt 0.5000 0.5000 0.0000  2 H 2.04
Rh 0.0000 0.5000 0.5000  2 H 2.06
Rh 0.5000 0.0000 0.5000  2 H 2.06

The calculation puts the energy at -5.488 eV per atom. As for the energy above the most stable polymorph in this dataset: 0.006 eV/atom. As for the space group: P4/mmm. As for the density of states at the Fermi level: 0.787 states/eV per atom.

---

Compound: NaPm2Ag
Source: the Alexandria database
Functional: PBE
Structure: relaxed

Cell: 3.5003 3.5003 10.0406 Å, 90.00 90.00 90.00°
Closest atoms and distances in Å follow each position.
Atoms (fractional coordinates):
Na 0.0000 0.0000 0.0000  4 Na 3.50, 8 Pm 3.89
Pm 0.5000 0.5000 0.2989  4 Ag 3.19, 4 Pm 3.50
Pm 0.5000 0.5000 0.7011  4 Ag 3.19, 4 Pm 3.50
Ag 0.0000 0.0000 0.5000  8 Pm 3.19, 4 Ag 3.50

The calculation puts the energy at -3.396 eV per atom. Its energy of formation from the pure elements is 22 meV/atom. As for the energy above the most stable polymorph in this dataset: 0.000 eV/atom. As for the space group: P4/mmm. As for the density of states at the Fermi level: 1.108 states/eV per atom.

---

Compound: Tb3Tl4CrSe8
Source: the Alexandria database
Functional: PBE
Structure: relaxed

Cell: 9.0857 9.0857 9.0857 Å, 53.76 53.76 53.76°
Closest atoms and distances in Å follow each position.
Atoms (fractional coordinates):
Tb 0.0000 0.5000 0.5000  6 Se 2.87-2.89
Tb 0.5000 0.0000 0.5000  6 Se 2.87-2.89
Tb 0.5000 0.5000 0.0000  6 Se 2.87-2.89
Tl 0.0000 0.0000 0.5000  6 Se 3.27-3.29
Tl 0.0000 0.5000 0.0000  6 Se 3.27-3.29
Tl 0.5000 0.0000 0.0000  6 Se 3.27-3.29
Tl 0.5000 0.5000 0.5000  6 Se 3.46
Cr 0.0000 0.0000 0.0000  6 Se 2.68
Se 0.2204 0.2204 0.7551  1 Cr 2.68, 2 Tb 2.89
Se 0.2204 0.7551 0.2204  1 Cr 2.68, 2 Tb 2.89
Se 0.2449 0.7796 0.7796  1 Cr 2.68, 2 Tb 2.89
Se 0.2638 0.2638 0.2638  3 Tb 2.87
Se 0.7362 0.7362 0.7362  3 Tb 2.87
Se 0.7551 0.2204 0.2204  1 Cr 2.68, 2 Tb 2.89
Se 0.7796 0.2449 0.7796  1 Cr 2.68, 2 Tb 2.89
Se 0.7796 0.7796 0.2449  1 Cr 2.68, 2 Tb 2.89

The calculation puts the energy at -4.921 eV per atom. As for the space group: R-3m. As for the density of states at the Fermi level: 0.058 states/eV per atom. The formation energy without anion corrections comes out at -1117.1 meV/atom.

---

Compound: Sc5CoCu2
Source: the Alexandria database
Functional: PBE
Structure: relaxed

Cell: 6.0919 10.7809 4.5533 Å, 90.00 90.00 90.00°
Closest atoms and distances in Å follow each position.
Atoms (fractional coordinates):
Sc 0.0000 0.0000 0.0000  4 Cu 2.81, 2 Co 3.05, 2 Sc 3.14
Sc 0.1439 0.2898 0.0000  1 Co 2.43
Sc 0.1718 0.5996 0.5000  3 Cu 2.69-2.92, 2 Co 2.73, 1 Sc 3.00
Sc 0.3282 0.0996 0.5000  3 Cu 2.69-2.92, 2 Co 2.73, 1 Sc 3.00
Sc 0.3561 0.7897 0.0000  1 Co 2.43
Sc 0.5000 0.5000 0.0000  4 Cu 2.81, 2 Co 3.05, 2 Sc 3.14
Sc 0.6439 0.2102 0.0000  1 Co 2.43
Sc 0.6718 0.9004 0.5000  3 Cu 2.69-2.92, 2 Co 2.73, 1 Sc 3.00
Sc 0.8282 0.4004 0.5000  3 Cu 2.69-2.92, 2 Co 2.73, 1 Sc 3.00
Sc 0.8561 0.7103 0.0000  1 Co 2.43
Co 0.0000 0.5000 0.0000  2 Sc 2.43
Co 0.5000 0.0000 0.0000  2 Sc 2.43
Cu 0.1066 0.8594 0.5000  7 Sc 2.69-2.92
Cu 0.3934 0.3594 0.5000  7 Sc 2.69-2.92
Cu 0.6066 0.6406 0.5000  7 Sc 2.69-2.92
Cu 0.8934 0.1406 0.5000  7 Sc 2.69-2.92

The calculation puts the energy at -6.097 eV per atom. Its energy of formation from the pure elements is -227 meV/atom. As for the space group: Pbam. As for the density of states at the Fermi level: 1.015 states/eV per atom.

---

Compound: RePBr
Source: the Alexandria database
Functional: PBE
Structure: relaxed

Cell: 6.8336 6.8336 6.8336 Å, 153.27 153.27 38.17°
Closest atoms and distances in Å follow each position.
Atoms (fractional coordinates):
Re 0.0000 0.0000 0.0000  4 P 2.40, 1 Br 2.42
P 0.5671 0.5671 0.0000  4 Re 2.40
Br 0.8123 0.8123 0.0000  1 Re 2.42

The calculation puts the energy at -6.279 eV per atom. As for the energy above the most stable polymorph in this dataset: 0.017 eV/atom. As for the space group: I4mm. As for the density of states at the Fermi level: 0.945 states/eV per atom. The formation energy without anion corrections comes out at 231.2 meV/atom.

---

Compound: Pa2Co5Ge2
Source: the Alexandria database
Functional: PBE
Structure: relaxed

Cell: 3.9941 3.9941 8.4286 Å, 90.00 90.00 90.00°
Closest atoms and distances in Å follow each position.
Atoms (fractional coordinates):
Pa 0.0000 0.0000 0.0000  12 Co 2.70-2.82
Pa 0.0000 0.0000 0.5000  8 Ge 3.09, 8 Co 3.12
Co 0.0000 0.5000 0.2158  2 Ge 2.30
Co 0.0000 0.5000 0.7842  2 Ge 2.30
Co 0.5000 0.0000 0.2158  2 Ge 2.30
Co 0.5000 0.0000 0.7842  2 Ge 2.30
Co 0.5000 0.5000 0.0000  8 Co 2.70, 4 Pa 2.82, 2 Ge 2.97
Ge 0.5000 0.5000 0.3519  4 Co 2.30, 1 Ge 2.50
Ge 0.5000 0.5000 0.6481  4 Co 2.30, 1 Ge 2.50

The calculation puts the energy at -7.476 eV per atom. Its energy of formation from the pure elements is -392 meV/atom. As for the space group: P4/mmm. As for the density of states at the Fermi level: 0.916 states/eV per atom.

---

Compound: HfSbN3
Source: the Alexandria database
Functional: PBE
Structure: relaxed

Cell: 3.9486 3.9486 3.9486 Å, 90.00 90.00 90.00°
Closest atoms and distances in Å follow each position.
Atoms (fractional coordinates):
Hf 0.0000 0.0000 0.0000  12 N 2.79
Sb 0.5000 0.5000 0.5000  6 N 1.97
N 0.0000 0.5000 0.5000  2 Sb 1.97
N 0.5000 0.0000 0.5000  2 Sb 1.97
N 0.5000 0.5000 0.0000  2 Sb 1.97

The calculation puts the energy at -7.180 eV per atom. As for the space group: Pm-3m. As for the density of states at the Fermi level: 0.056 states/eV per atom. The formation energy without anion corrections comes out at 630.6 meV/atom.

---

Compound: RbCdHgSe2
Source: the Alexandria database
Functional: PBE
Structure: relaxed

Cell: 7.8545 7.8545 7.5815 Å, 90.00 90.00 132.91°
Closest atoms and distances in Å follow each position.
Atoms (fractional coordinates):
Rb 0.2500 0.7500 0.7825  6 Se 3.67-3.69
Rb 0.7500 0.2500 0.2175  6 Se 3.67-3.69
Cd 0.2500 0.2500 0.0000  4 Se 2.73
Cd 0.7500 0.7500 0.0000  4 Se 2.73
Hg 0.0000 0.0000 0.5000  2 Se 2.86, 2 Hg 3.14
Hg 0.5000 0.5000 0.5000  2 Se 2.86, 2 Hg 3.14
Se 0.1162 0.8838 0.1942  2 Cd 2.73, 1 Hg 2.86
Se 0.3838 0.6162 0.1942  2 Cd 2.73, 1 Hg 2.86
Se 0.6162 0.3838 0.8058  2 Cd 2.73, 1 Hg 2.86
Se 0.8838 0.1162 0.8058  2 Cd 2.73, 1 Hg 2.86

The calculation puts the energy at -2.366 eV per atom. As for the space group: Cmme. As for the density of states at the Fermi level: 0.614 states/eV per atom. The formation energy without anion corrections comes out at -535.7 meV/atom.

---

Compound: RbNp2Te4Au
Source: the Alexandria database
Functional: PBE
Structure: relaxed

Cell: 8.0141 8.0141 15.6762 Å, 90.00 90.00 147.37°
Closest atoms and distances in Å follow each position.
Atoms (fractional coordinates):
Rb 0.1230 0.8770 0.7500  6 Te 3.53-3.63
Rb 0.8770 0.1230 0.2500  6 Te 3.53-3.63
Np 0.3699 0.6301 0.5664  6 Te 3.11-3.19
Np 0.3699 0.6301 0.9336  6 Te 3.11-3.19
Np 0.6301 0.3699 0.0664  6 Te 3.11-3.19
Np 0.6301 0.3699 0.4336  6 Te 3.11-3.19
Te 0.0000 0.0000 0.0000  4 Np 3.19
Te 0.0000 0.0000 0.5000  4 Np 3.19
Te 0.2642 0.7358 0.1055  1 Au 2.81, 2 Np 3.11
Te 0.2642 0.7358 0.3945  1 Au 2.81, 2 Np 3.11
Te 0.4464 0.5536 0.7500  2 Au 2.75
Te 0.5536 0.4464 0.2500  2 Au 2.75
Te 0.7358 0.2642 0.6055  1 Au 2.81, 2 Np 3.11
Te 0.7358 0.2642 0.8945  1 Au 2.81, 2 Np 3.11
Au 0.1561 0.8439 0.2500  4 Te 2.75-2.81
Au 0.8439 0.1561 0.7500  4 Te 2.75-2.81

The calculation puts the energy at -5.995 eV per atom. As for the space group: Cmcm. As for the density of states at the Fermi level: 2.467 states/eV per atom. The formation energy without anion corrections comes out at -658.0 meV/atom.

---

Compound: Dy2PuRh4
Source: the Alexandria database
Functional: PBE
Structure: relaxed

Cell: 6.9298 6.9298 6.9298 Å, 138.61 138.61 59.97°
Closest atoms and distances in Å follow each position.
Atoms (fractional coordinates):
Dy 0.2184 0.2184 0.0000  4 Rh 2.72
Dy 0.7816 0.7816 0.0000  4 Rh 2.72
Pu 0.5000 0.5000 0.0000  8 Rh 2.85
Rh 0.1206 0.6206 0.5000  2 Dy 2.72, 2 Pu 2.85, 1 Rh 2.90
Rh 0.3794 0.8794 0.5000  2 Dy 2.72, 2 Pu 2.85, 1 Rh 2.90
Rh 0.6206 0.1206 0.5000  2 Dy 2.72, 2 Pu 2.85, 1 Rh 2.90
Rh 0.8794 0.3794 0.5000  2 Dy 2.72, 2 Pu 2.85, 1 Rh 2.90

The calculation puts the energy at -8.016 eV per atom. Its energy of formation from the pure elements is -453 meV/atom. As for the space group: I4/mmm. As for the density of states at the Fermi level: 1.607 states/eV per atom.